(1)
The following is a PBE-GGA calculation of a geometry-optimized LaCe3Th2S6 structure, from the Alexandria database.

```
LaCe3Th2S6
1.0
3.5102 -6.0733 0.0000
3.5102 6.0733 0.0000
-2.3330 0.0000 6.6028
La Ce Th S
1 3 2 6
Cartesian
0.0000 0.0000 0.0000
2.3437 4.0707 3.3014
2.3437 0.0000 3.3014
2.3437 -4.0707 3.3014
3.5102 2.0261 0.0000
3.5102 -2.0261 0.0000
1.1856 2.0479 1.6825
0.0327 0.0000 4.9311
1.1856 -2.0479 1.6825
3.5018 2.0479 4.9203
4.6547 0.0000 1.6717
3.5018 -2.0479 4.9203
```

## Properties
total moment = 1.58 μB per formula unit
symmetry = C2/m
DOS at the Fermi energy = 17.16 states/eV/cell
uncorrected formation energy = -1998 meV/atom



(2)
The following is a PBE-GGA calculation of a geometry-optimized La3CeTh2S6 structure, from the Alexandria database.

```
La3CeTh2S6
1.0
3.5410 -6.1205 0.0000
3.5410 6.1205 0.0000
-2.3479 0.0000 6.7181
La Ce Th S
3 1 2 6
Cartesian
0.0000 0.0000 0.0000
3.5410 2.0437 0.0000
3.5410 -2.0437 0.0000
2.3671 0.0000 3.3590
2.3671 4.0840 3.3590
2.3671 -4.0840 3.3590
1.1861 2.0377 1.7302
0.0145 0.0000 4.9930
1.1861 -2.0377 1.7302
3.5481 2.0377 4.9879
4.7197 0.0000 1.7251
3.5481 -2.0377 4.9879
```

## Properties
total moment = 0.70 μB per formula unit
symmetry = C2/m
DOS at the Fermi energy = 10.85 states/eV/cell
uncorrected formation energy = -2033 meV/atom



(3)
The following is a PBE-GGA calculation of a geometry-optimized La4Ce3ThS8 structure, from the Alexandria database.

```
La4Ce3ThS8
1.0
4.0855 2.3588 6.7041
-4.0855 2.3588 6.7041
0.0000 -4.7175 6.7041
La Ce Th S
4 3 1 8
Cartesian
0.0000 0.0000 0.0000
-2.0428 -1.1794 6.7041
-2.0428 1.1794 13.4083
0.0000 2.3588 6.7041
-4.0855 0.0000 10.0562
-2.0428 1.1794 3.3521
2.0428 1.1794 3.3521
0.0000 0.0000 10.0562
0.0000 0.0000 4.9705
-2.0455 -1.1810 11.6789
0.0000 -2.3620 8.4335
-2.0455 1.1810 8.4335
2.0455 -1.1810 11.6790
0.0000 2.3620 11.6790
2.0455 1.1810 8.4335
0.0000 0.0000 15.1419
```

## Properties
total moment = 1.90 μB per formula unit
symmetry = R-3m
DOS at the Fermi energy = 19.04 states/eV/cell
uncorrected formation energy = -2078 meV/atom



(4)
The following is a PBE-GGA calculation of a geometry-optimized LaCe2ThS4 structure, from the Alexandria database.

```
LaCe2ThS4
1.0
7.0211 0.0000 0.0000
0.0000 4.0650 0.0000
-2.3516 0.0000 6.6288
La Ce Th S
1 2 1 4
Cartesian
0.0000 0.0000 0.0000
2.3348 0.0000 3.3144
3.5106 2.0325 0.0000
-1.1758 2.0325 3.3144
0.0216 0.0000 4.9597
1.1973 2.0325 1.6924
3.4723 2.0325 4.9364
4.6479 0.0000 1.6691
```

## Properties
total moment = 1.25 μB per formula unit
symmetry = P2/m
DOS at the Fermi energy = 11.52 states/eV/cell
uncorrected formation energy = -2021 meV/atom



(5)
The following is a PBE-GGA calculation of a geometry-optimized LaCe3Th4S8 structure, from the Alexandria database.

```
LaCe3Th4S8
1.0
4.0392 2.3320 6.6470
-4.0392 2.3320 6.6470
0.0000 -4.6641 6.6470
La Ce Th S
1 3 4 8
Cartesian
0.0000 0.0000 0.0000
-2.0196 -1.1660 6.6470
-2.0196 1.1660 13.2940
0.0000 2.3320 6.6470
-4.0392 0.0000 9.9705
-2.0196 1.1660 3.3235
2.0196 1.1660 3.3235
0.0000 0.0000 9.9705
0.0000 0.0000 5.0014
0.0000 -2.3094 8.3090
-2.0000 1.1547 8.3090
-2.0000 -1.1547 11.6321
2.0000 1.1547 8.3090
2.0000 -1.1547 11.6321
0.0000 2.3094 11.6321
0.0000 0.0000 14.9397
```

## Properties
total moment = 2.42 μB per formula unit
symmetry = R-3m
DOS at the Fermi energy = 20.59 states/eV/cell
uncorrected formation energy = -1960 meV/atom



(6)
The following is a PBE-GGA calculation of a geometry-optimized La2CeThS4 structure, from the Alexandria database.

```
La2CeThS4
1.0
7.0729 0.0000 0.0000
0.0000 4.0937 0.0000
-2.3642 0.0000 6.7002
La Ce Th S
2 1 1 4
Cartesian
0.0000 0.0000 0.0000
3.5364 2.0468 0.0000
-1.1821 2.0468 3.3501
2.3543 0.0000 3.3501
-0.0088 0.0000 4.9707
1.1720 2.0468 1.7243
3.5367 2.0468 4.9759
4.7175 0.0000 1.7295
```

## Properties
total moment = 0.69 μB per formula unit
symmetry = P2/m
DOS at the Fermi energy = 7.68 states/eV/cell
uncorrected formation energy = -2052 meV/atom



(7)
The following is a PBE-GGA calculation of a geometry-optimized LaCe2Th3S6 structure, from the Alexandria database.

```
LaCe2Th3S6
1.0
3.5071 -6.0686 0.0000
3.5071 6.0686 0.0000
-2.3323 0.0000 6.6299
La Ce Th S
1 2 3 6
Cartesian
0.0000 0.0000 0.0000
3.5071 2.0265 0.0000
3.5071 -2.0265 0.0000
2.3409 4.0735 3.3149
2.3409 0.0000 3.3149
2.3409 -4.0735 3.3149
1.1878 2.0511 1.6637
0.0392 0.0000 4.9862
1.1878 -2.0511 1.6637
3.4940 2.0511 4.9662
4.6426 0.0000 1.6437
3.4940 -2.0511 4.9662
```

## Properties
total moment = 0.81 μB per formula unit
symmetry = C2/m
DOS at the Fermi energy = 13.68 states/eV/cell
uncorrected formation energy = -1965 meV/atom



(8)
The following is a PBE-GGA calculation of a geometry-optimized La2CeTl3S6 structure, from the Alexandria database.

```
La2CeTl3S6
1.0
3.6923 -6.3939 0.0000
3.6923 6.3939 0.0000
-2.4629 0.0000 7.4426
La Ce Tl S
2 1 3 6
Cartesian
3.6923 4.2626 0.0000
3.6923 -4.2626 0.0000
3.6923 0.0000 0.0000
-1.2314 0.0000 3.7213
2.4609 2.1293 3.7213
2.4609 -2.1293 3.7213
0.0150 2.1035 5.9303
1.2623 0.0000 1.5192
0.0150 -2.1035 5.9303
4.9068 2.1035 1.5123
3.6594 0.0000 5.9234
4.9068 -2.1035 1.5123
```

## Properties
total moment = 1.01 μB per formula unit
symmetry = C2/m
DOS at the Fermi energy = 5.64 states/eV/cell
uncorrected formation energy = -1483 meV/atom



(9)
The following is a PBE-GGA calculation of a geometry-optimized LaCeTl2S4 structure, from the Alexandria database.

```
LaCeTl2S4
1.0
7.3571 0.0000 0.0000
0.0000 4.2480 0.0000
-2.4480 0.0000 7.4498
La Ce Tl S
1 1 2 4
Cartesian
0.0000 0.0000 0.0000
3.6786 2.1240 0.0000
-1.2240 2.1240 3.7249
2.4546 0.0000 3.7249
1.2558 2.1240 1.5170
0.0348 0.0000 5.9423
4.8744 0.0000 1.5075
3.6533 2.1240 5.9329
```

## Properties
total moment = 1.01 μB per formula unit
symmetry = P2/m
DOS at the Fermi energy = 6.39 states/eV/cell
uncorrected formation energy = -1461 meV/atom



(10)
The following is a PBE-GGA calculation of a geometry-optimized La3CeTl4S8 structure, from the Alexandria database.

```
La3CeTl4S8
1.0
4.2692 2.4648 7.4435
-4.2692 2.4648 7.4435
0.0000 -4.9297 7.4435
La Ce Tl S
3 1 4 8
Cartesian
-2.1346 -1.2324 7.4435
-2.1346 1.2324 14.8870
0.0000 2.4648 7.4435
0.0000 0.0000 0.0000
-4.2692 0.0000 11.1652
-2.1346 1.2324 3.7217
2.1346 1.2324 3.7217
0.0000 0.0000 11.1652
0.0000 -2.4921 8.9588
-2.1583 1.2461 8.9588
-2.1583 -1.2461 13.3717
0.0000 0.0000 5.9217
0.0000 0.0000 16.4087
2.1583 1.2461 8.9588
2.1583 -1.2461 13.3717
0.0000 2.4921 13.3717
```

## Properties
total moment = 1.01 μB per formula unit
symmetry = R-3m
DOS at the Fermi energy = 5.56 states/eV/cell
uncorrected formation energy = -1494 meV/atom



(11)
The following is a PBE-GGA calculation of a geometry-optimized La4Ce3TmS8 structure, from the Alexandria database.

```
La4Ce3TmS8
1.0
4.0638 2.3462 6.6610
-4.0638 2.3462 6.6610
0.0000 -4.6925 6.6610
La Ce Tm S
4 3 1 8
Cartesian
0.0000 0.0000 0.0000
-2.0319 -1.1731 6.6610
-2.0319 1.1731 13.3220
0.0000 2.3462 6.6610
-4.0638 0.0000 9.9915
-2.0319 1.1731 3.3305
2.0319 1.1731 3.3305
0.0000 0.0000 9.9915
0.0000 0.0000 4.9383
-1.9807 -1.1435 11.5568
0.0000 -2.2871 8.4262
-1.9807 1.1435 8.4262
1.9807 -1.1435 11.5568
0.0000 2.2871 11.5568
1.9807 1.1435 8.4262
0.0000 0.0000 15.0448
```

## Properties
total moment = 2.01 μB per formula unit
symmetry = R-3m
DOS at the Fermi energy = 18.93 states/eV/cell
uncorrected formation energy = -2086 meV/atom



(12)
The following is a PBE-GGA calculation of a geometry-optimized La2CeTmS5 structure, from the Alexandria database.

```
La2CeTmS5
1.0
2.0007 -8.4747 0.0000
2.0007 8.4747 0.0000
0.0000 0.0000 13.3872
La Ce Tm S
4 2 2 10
Cartesian
2.0007 7.1150 6.6936
2.0007 6.1367 2.1910
2.0007 -6.1367 8.8846
2.0007 -7.1150 0.0000
2.0007 0.9107 4.0866
2.0007 -0.9107 10.7802
2.0007 4.4899 12.0120
2.0007 -4.4899 5.3184
2.0007 7.0744 12.6118
2.0007 4.1960 7.2244
2.0007 3.5815 3.5228
2.0007 1.9268 11.2724
2.0007 0.1110 8.2865
2.0007 -0.1110 1.5928
2.0007 -1.9268 4.5787
2.0007 -3.5815 10.2164
2.0007 -4.1960 0.5308
2.0007 -7.0744 5.9182
```

## Properties
total moment = 1.35 μB per formula unit
symmetry = Cmc2_1
DOS at the Fermi energy = 17.75 states/eV/cell
uncorrected formation energy = -1965 meV/atom



(13)
The following is a PBE-GGA calculation of a geometry-optimized La3Ce2TmS6 structure, from the Alexandria database.

```
La3Ce2TmS6
1.0
3.5092 -6.0836 0.0000
3.5092 6.0836 0.0000
-2.3522 0.0000 6.6563
La Ce Tm S
3 2 1 6
Cartesian
0.0000 0.0000 0.0000
3.5092 2.0561 0.0000
3.5092 -2.0561 0.0000
2.3332 4.0619 3.3282
2.3332 -4.0619 3.3282
2.3332 0.0000 3.3282
1.2011 1.9720 1.7686
0.0589 0.0000 4.9068
1.2011 -1.9720 1.7686
3.4652 1.9720 4.8877
4.6074 0.0000 1.7495
3.4652 -1.9720 4.8877
```

## Properties
total moment = 1.56 μB per formula unit
symmetry = C2/m
DOS at the Fermi energy = 13.23 states/eV/cell
uncorrected formation energy = -2083 meV/atom



(14)
The following is a PBE-GGA calculation of a geometry-optimized La2CeTmS4 structure, from the Alexandria database.

```
La2CeTmS4
1.0
7.0069 0.0000 0.0000
0.0000 4.0170 0.0000
-2.3061 0.0000 6.6515
La Ce Tm S
2 1 1 4
Cartesian
0.0000 0.0000 0.0000
3.5034 2.0085 0.0000
-1.1530 2.0085 3.3258
2.3504 0.0000 3.3258
0.0804 0.0000 4.8875
1.2325 2.0085 1.8020
3.4683 2.0085 4.8495
4.6204 0.0000 1.7640
```

## Properties
total moment = 0.71 μB per formula unit
symmetry = P2/m
DOS at the Fermi energy = 7.60 states/eV/cell
uncorrected formation energy = -2075 meV/atom



(15)
The following is a PBE-GGA calculation of a geometry-optimized LaCe2TmS5 structure, from the Alexandria database.

```
LaCe2TmS5
1.0
4.8506 0.0000 0.0000
0.0000 4.8506 0.0000
0.0000 0.0000 10.5793
La Ce Tm S
1 2 1 5
Cartesian
0.0000 0.0000 0.0000
2.4253 2.4253 3.2871
2.4253 2.4253 7.2923
0.0000 0.0000 5.2897
0.0000 0.0000 2.6684
0.0000 0.0000 7.9109
0.0000 2.4253 5.2897
2.4253 0.0000 5.2897
2.4253 2.4253 0.0000
```

## Properties
total moment = 3.45 μB per formula unit
symmetry = P4/mmm
DOS at the Fermi energy = 17.86 states/eV/cell
uncorrected formation energy = -1595 meV/atom



(16)
The following is a PBE-GGA calculation of a geometry-optimized La2CeUS8 structure, from the Alexandria database.

```
La2CeUS8
1.0
4.6711 0.0000 0.0000
0.0000 9.2622 0.0000
-0.0313 0.0000 6.7002
La Ce U S
2 1 1 8
Cartesian
0.0000 2.3070 0.0000
0.0000 6.9551 0.0000
2.3199 4.6311 3.3501
2.3199 0.0000 3.3501
4.6617 4.6311 1.7445
-0.0219 4.6311 4.9557
-0.0048 0.0000 1.8497
2.3050 2.1899 4.9159
2.3050 7.0723 4.9159
2.3348 2.1899 1.7843
2.3348 7.0723 1.7843
4.6446 0.0000 4.8504
```

## Properties
total moment = 0.14 μB per formula unit
symmetry = P2/m
DOS at the Fermi energy = 3.31 states/eV/cell
uncorrected formation energy = -1685 meV/atom



(17)
The following is a PBE-GGA calculation of a geometry-optimized La2CeY3S6 structure, from the Alexandria database.

```
La2CeY3S6
1.0
8.7873 -1.9911 0.0000
8.7873 1.9911 0.0000
-1.9919 0.0000 7.8582
La Ce Y S
2 1 3 6
Cartesian
2.2478 0.0000 2.6031
13.3348 0.0000 5.2551
8.7873 0.0000 0.0000
1.2733 0.0000 6.5635
7.7913 0.0000 3.9291
14.3093 0.0000 1.2947
-1.3981 0.0000 5.8506
3.9667 0.0000 7.2939
5.1171 0.0000 3.1871
10.4655 0.0000 4.6711
11.6159 0.0000 0.5643
16.9806 0.0000 2.0076
```

## Properties
total moment = 1.10 μB per formula unit
symmetry = C2/m
DOS at the Fermi energy = 10.30 states/eV/cell
uncorrected formation energy = -2066 meV/atom



(18)
The following is a PBE-GGA calculation of a geometry-optimized La3Ce4YS8 structure, from the Alexandria database.

```
La3Ce4YS8
1.0
4.0620 2.3452 6.6439
-4.0620 2.3452 6.6439
0.0000 -4.6904 6.6439
La Ce Y S
3 4 1 8
Cartesian
-2.0310 -1.1726 6.6439
-2.0310 1.1726 13.2878
0.0000 2.3452 6.6439
-4.0620 0.0000 9.9658
-2.0310 1.1726 3.3219
2.0310 1.1726 3.3220
0.0000 0.0000 9.9659
0.0000 0.0000 0.0000
-2.0873 -1.2051 11.6162
0.0000 -2.4102 8.3156
-2.0873 1.2051 8.3156
0.0000 0.0000 4.9266
0.0000 0.0000 15.0051
2.0873 -1.2051 11.6161
0.0000 2.4102 11.6161
2.0873 1.2051 8.3156
```

## Properties
total moment = 2.88 μB per formula unit
symmetry = R-3m
DOS at the Fermi energy = 23.20 states/eV/cell
uncorrected formation energy = -2076 meV/atom



(19)
The following is a PBE-GGA calculation of a geometry-optimized La2CeYS4 structure, from the Alexandria database.

```
La2CeYS4
1.0
7.0383 0.0000 0.0000
0.0000 4.0437 0.0000
-2.3273 0.0000 6.6701
La Ce Y S
2 1 1 4
Cartesian
0.0000 0.0000 0.0000
3.5192 2.0218 0.0000
-1.1636 2.0218 3.3351
2.3555 0.0000 3.3351
0.0482 0.0000 4.9192
1.2118 2.0218 1.7740
3.4992 2.0218 4.8962
4.6629 0.0000 1.7510
```

## Properties
total moment = 0.76 μB per formula unit
symmetry = P2/m
DOS at the Fermi energy = 7.87 states/eV/cell
uncorrected formation energy = -2094 meV/atom



(20)
The following is a PBE-GGA calculation of a geometry-optimized LaCe3Y2S6 structure, from the Alexandria database.

```
LaCe3Y2S6
1.0
3.4710 -6.0160 0.0000
3.4710 6.0160 0.0000
-2.3241 0.0000 6.5741
La Ce Y S
1 3 2 6
Cartesian
0.0000 0.0000 0.0000
2.3090 4.0537 3.2870
2.3090 0.0000 3.2870
2.3090 -4.0537 3.2870
3.4710 2.0094 0.0000
3.4710 -2.0094 0.0000
1.1913 2.0690 1.6204
0.0665 0.0000 4.9807
1.1913 -2.0690 1.6204
3.4266 2.0690 4.9536
4.5515 0.0000 1.5934
3.4266 -2.0690 4.9536
```

## Properties
total moment = 2.53 μB per formula unit
symmetry = C2/m
DOS at the Fermi energy = 16.69 states/eV/cell
uncorrected formation energy = -2047 meV/atom